# KPaPtS4 (PBE-GGA, relaxed)
# Space group   No. 11
# M_tot   0.00 μB/f.u.
# E_form (uncorrected)   -1.054 eV per atom
data_KPaPtS4
_symmetry_space_group_name_H-M 'P 1'
_symmetry_Int_Tables_number 1
_cell_length_a 6.630
_cell_length_b 5.865
_cell_length_c 8.992
_cell_angle_alpha 90.00
_cell_angle_beta 108.04
_cell_angle_gamma 90.00
loop_
_symmetry_equiv_pos_as_xyz
'x,y,z'
loop_
_atom_site_label
_atom_site_type_symbol
_atom_site_fract_x
_atom_site_fract_y
_atom_site_fract_z
K1 K 0.245 0.250 0.450
K2 K 0.755 0.750 0.550
Pa1 Pa 0.240 0.250 0.946
Pa2 Pa 0.760 0.750 0.054
Pt1 Pt 0.277 0.750 0.169
Pt2 Pt 0.723 0.250 0.831
S1 S 0.050 0.750 0.328
S2 S 0.056 0.750 0.907
S3 S 0.460 0.524 0.798
S4 S 0.460 0.976 0.798
S5 S 0.540 0.024 0.202
S6 S 0.540 0.476 0.202
S7 S 0.944 0.250 0.093
S8 S 0.950 0.250 0.672

=====

# Ca5LaGa6 (PBE-GGA, relaxed)
# Space group   No. 65
# M_tot   0.00 μB/f.u.
# Energy of formation   -45.22 kJ/mol of atoms
data_Ca5LaGa6
_symmetry_space_group_name_H-M 'P 1'
_symmetry_Int_Tables_number 1
_cell_length_a 8.235
_cell_length_b 8.235
_cell_length_c 7.431
_cell_angle_alpha 90.00
_cell_angle_beta 90.00
_cell_angle_gamma 143.18
loop_
_symmetry_equiv_pos_as_xyz
'x,y,z'
loop_
_atom_site_label
_atom_site_type_symbol
_atom_site_fract_x
_atom_site_fract_y
_atom_site_fract_z
Ca1 Ca 0.000 0.000 0.000
Ca2 Ca 0.329 0.671 0.500
Ca3 Ca 0.335 0.665 0.000
Ca4 Ca 0.665 0.335 0.000
Ca5 Ca 0.671 0.329 0.500
La1 La 0.000 0.000 0.500
Ga1 Ga 0.167 0.833 0.240
Ga2 Ga 0.167 0.833 0.760
Ga3 Ga 0.500 0.500 0.244
Ga4 Ga 0.500 0.500 0.756
Ga5 Ga 0.833 0.167 0.240
Ga6 Ga 0.833 0.167 0.760

=====

# K4Pu3CoS8 (PBE-GGA, relaxed)
# Space group   No. 166
# M_tot   16.22 μB/f.u.
# E_form (uncorrected)   -1.280 eV per atom
data_K4Pu3CoS8
_symmetry_space_group_name_H-M 'P 1'
_symmetry_Int_Tables_number 1
_cell_length_a 8.632
_cell_length_b 8.632
_cell_length_c 8.632
_cell_angle_alpha 55.24
_cell_angle_beta 55.24
_cell_angle_gamma 55.24
loop_
_symmetry_equiv_pos_as_xyz
'x,y,z'
loop_
_atom_site_label
_atom_site_type_symbol
_atom_site_fract_x
_atom_site_fract_y
_atom_site_fract_z
K1 K 0.000 0.000 0.000
K2 K 0.000 0.500 0.500
K3 K 0.500 0.000 0.500
K4 K 0.500 0.500 0.000
Pu1 Pu 0.000 0.000 0.500
Pu2 Pu 0.000 0.500 0.000
Pu3 Pu 0.500 0.000 0.000
Co1 Co 0.500 0.500 0.500
S1 S 0.234 0.234 0.234
S2 S 0.242 0.725 0.725
S3 S 0.275 0.275 0.758
S4 S 0.275 0.758 0.275
S5 S 0.725 0.242 0.725
S6 S 0.725 0.725 0.242
S7 S 0.758 0.275 0.275
S8 S 0.766 0.766 0.766

=====

# Dy6As3PS2 (PBE-GGA, relaxed)
# Space group   No. 12
# M_tot   0.00 μB/f.u.
# E_form (uncorrected)   -1.739 eV per atom
data_Dy6As3PS2
_symmetry_space_group_name_H-M 'P 1'
_symmetry_Int_Tables_number 1
_cell_length_a 9.019
_cell_length_b 9.019
_cell_length_c 8.055
_cell_angle_alpha 102.79
_cell_angle_beta 102.79
_cell_angle_gamma 25.89
loop_
_symmetry_equiv_pos_as_xyz
'x,y,z'
loop_
_atom_site_label
_atom_site_type_symbol
_atom_site_fract_x
_atom_site_fract_y
_atom_site_fract_z
Dy1 Dy 0.000 0.000 0.244
Dy2 Dy 0.000 0.000 0.756
Dy3 Dy 0.334 0.334 0.417
Dy4 Dy 0.336 0.336 0.918
Dy5 Dy 0.664 0.664 0.082
Dy6 Dy 0.666 0.666 0.583
As1 As 0.168 0.168 0.832
As2 As 0.500 0.500 0.500
As3 As 0.832 0.832 0.168
P1 P 0.500 0.500 0.000
S1 S 0.168 0.168 0.335
S2 S 0.832 0.832 0.665

=====

# TiH (PBE-GGA, relaxed)
# Space group   No. 216
# M_tot   0.00 μB/f.u.
data_TiH
_symmetry_space_group_name_H-M 'P 1'
_symmetry_Int_Tables_number 1
_cell_length_a 3.056
_cell_length_b 3.056
_cell_length_c 3.056
_cell_angle_alpha 60.00
_cell_angle_beta 60.00
_cell_angle_gamma 60.00
loop_
_symmetry_equiv_pos_as_xyz
'x,y,z'
loop_
_atom_site_label
_atom_site_type_symbol
_atom_site_fract_x
_atom_site_fract_y
_atom_site_fract_z
Ti1 Ti 0.000 0.000 0.000
H1 H 0.250 0.250 0.250

=====

# HfTiTcRu (PBE-GGA, relaxed)
# Space group   No. 216
# M_tot   0.00 μB/f.u.
# Energy of formation   -61.33 kJ/mol of atoms
data_HfTiTcRu
_symmetry_space_group_name_H-M 'P 1'
_symmetry_Int_Tables_number 1
_cell_length_a 4.488
_cell_length_b 4.488
_cell_length_c 4.488
_cell_angle_alpha 60.00
_cell_angle_beta 60.00
_cell_angle_gamma 60.00
loop_
_symmetry_equiv_pos_as_xyz
'x,y,z'
loop_
_atom_site_label
_atom_site_type_symbol
_atom_site_fract_x
_atom_site_fract_y
_atom_site_fract_z
Hf1 Hf 0.000 0.000 0.000
Ti1 Ti 0.500 0.500 0.500
Tc1 Tc 0.250 0.250 0.250
Ru1 Ru 0.750 0.750 0.750

=====

Number 1: electronic total energy -81.04 eV/cell. Number 2: electronic total energy -38.72 eV/cell. Number 3: electronic total energy -107.99 eV/cell. Number 4: electronic total energy -76.10 eV/cell. Number 5: electronic total energy -11.87 eV/cell. Number 6: electronic total energy -40.03 eV/cell.